Record 1
VASP calculation (GGA-PBE) on an optimized crystal structure of Nd3Cd3Ag.

Final energy ... -3.125 eV per atom
Density ... 7.7 g cm⁻³
ΔE_f ... -0.28 eV/atom

abc: 3.499 5.024 21.406
angles: 90.00 90.00 90.00
Positions (direct):
Nd1 0.000 0.000 0.000
Nd2 0.000 0.000 0.392
Nd3 0.000 0.500 0.201
Nd4 0.500 0.000 0.701
Nd5 0.500 0.500 0.500
Nd6 0.500 0.500 0.892
Cd1 0.000 0.000 0.557
Cd2 0.000 0.000 0.838
Cd3 0.000 0.500 0.632
Cd4 0.500 0.000 0.132
Cd5 0.500 0.500 0.057
Cd6 0.500 0.500 0.338
Ag1 0.000 0.500 0.765
Ag2 0.500 0.000 0.265

Record 2
VASP calculation (GGA-PBE) on an optimized crystal structure of YBiH2.

Final energy ... -4.498 eV per atom
Energy above the most stable polymorph in this dataset ... 251 meV per atom
Density ... 7.2 g cm⁻³

abc: 4.657 4.657 12.781
angles: 90.00 90.00 90.00
Positions (direct):
Y1 0.000 0.000 0.000
Y2 0.000 0.500 0.250
Y3 0.500 0.000 0.750
Y4 0.500 0.500 0.500
Bi1 0.000 0.000 0.500
Bi2 0.000 0.500 0.750
Bi3 0.500 0.000 0.250
Bi4 0.500 0.500 0.000
H1 0.124 0.250 0.125
H2 0.250 0.624 0.375
H3 0.250 0.876 0.875
H4 0.376 0.250 0.625
H5 0.624 0.750 0.625
H6 0.750 0.124 0.875
H7 0.750 0.376 0.375
H8 0.876 0.750 0.125

Record 3
VASP calculation (GGA-PBE) on an optimized crystal structure of Tl3HgSb3.

Final energy ... -2.763 eV per atom
Energy above the most stable polymorph in this dataset ... 0 meV per atom
Density ... 8.4 g cm⁻³
ΔE_f (raw) ... 0.06 eV/atom

abc: 8.372 8.392 8.398
angles: 65.34 65.42 65.45
Positions (direct):
Tl1 0.051 0.170 0.153
Tl2 0.329 0.846 0.450
Tl3 0.346 0.449 0.830
Tl4 0.654 0.551 0.170
Tl5 0.671 0.154 0.550
Tl6 0.949 0.830 0.847
Hg1 0.346 0.845 0.845
Hg2 0.654 0.155 0.155
Sb1 0.194 0.701 0.235
Sb2 0.202 0.235 0.692
Sb3 0.264 0.307 0.299
Sb4 0.736 0.693 0.701
Sb5 0.798 0.765 0.308
Sb6 0.806 0.299 0.765

Record 4
VASP calculation (GGA-PBE) on an optimized crystal structure of Ta2ZnReBi.

Final energy ... -7.241 eV per atom
Density ... 11.6 g cm⁻³
ΔE_f ... 1.02 eV/atom

abc: 4.896 4.896 4.905
angles: 90.00 90.00 90.00
Positions (direct):
Ta1 0.000 0.500 0.000
Ta2 0.500 0.000 0.000
Zn1 0.000 0.000 0.500
Re1 0.000 0.000 0.000
Bi1 0.500 0.500 0.500